Entry 1:
The following is a PBE-GGA calculation of a relaxed structure of LiScInPd, from OQMD via LeMat-Bulk.

Output
Total energy   -37.4 eV/cell

POSCAR file:
```
LiScInPd
1.0
4.641 0.000 0.000
0.000 4.641 0.000
0.000 0.000 6.563
Li Sc In Pd
2 2 2 2
Direct
0.000 0.000 0.000
0.500 0.500 0.500
0.000 0.500 0.750
0.500 0.000 0.250
0.000 0.500 0.249
0.500 0.000 0.751
0.000 0.000 0.500
0.500 0.500 0.000
```


Entry 2:
The following is a PBE-GGA calculation of a relaxed structure of Li2Sc2InSiPd2, from OQMD via LeMat-Bulk.

Output
Total energy   -40.4 eV/cell

POSCAR file:
```
Li2Sc2InSiPd2
1.0
4.482 0.000 0.000
0.000 4.482 0.000
0.000 0.000 6.475
Li Sc In Si Pd
2 2 1 1 2
Direct
0.000 0.500 0.231
0.500 0.000 0.769
0.000 0.000 0.000
0.500 0.500 0.500
0.000 0.000 0.500
0.500 0.500 0.000
0.000 0.500 0.771
0.500 0.000 0.229
```


Entry 3:
The following is a PBE-GGA calculation of a relaxed structure of Li2Sc2InSnPd2, from OQMD via LeMat-Bulk.

Output
Total energy   -39.3 eV/cell

POSCAR file:
```
Li2Sc2InSnPd2
1.0
4.618 0.000 0.000
0.000 4.618 0.000
0.000 0.000 6.572
Li Sc In Sn Pd
2 2 1 1 2
Direct
0.000 0.500 0.249
0.500 0.000 0.751
0.000 0.000 0.000
0.500 0.500 0.500
0.500 0.500 0.000
0.000 0.000 0.500
0.000 0.500 0.747
0.500 0.000 0.253
```


Entry 4:
The following is a PBE-GGA calculation of a relaxed structure of Li4InSiPd2, from OQMD via LeMat-Bulk.

Output
Total energy   -30.3 eV/cell

POSCAR file:
```
Li4InSiPd2
1.0
4.291 0.000 0.000
0.000 4.291 0.000
0.000 0.000 6.229
Li In Si Pd
4 1 1 2
Direct
0.000 0.000 0.000
0.000 0.500 0.230
0.500 0.000 0.770
0.500 0.500 0.500
0.000 0.000 0.500
0.500 0.500 0.000
0.000 0.500 0.785
0.500 0.000 0.215
```


Entry 5:
The following is a PBE-GGA calculation of a relaxed structure of LiInSiPd, from OQMD via LeMat-Bulk.

Output
Energy relative to the lowest polymorph listed for this composition   0.074 eV/atom

POSCAR file:
```
LiInSiPd
1.0
0.000 3.185 3.185
3.185 0.000 3.185
3.185 3.185 0.000
Li In Si Pd
1 1 1 1
Direct
0.000 0.000 0.000
0.750 0.750 0.750
0.500 0.500 0.500
0.250 0.250 0.250
```


Entry 6:
The following is a PBE-GGA calculation of a relaxed structure of LiInSiPd, from OQMD via LeMat-Bulk.

Output
Energy relative to the lowest polymorph listed for this composition   0.000 eV/atom

POSCAR file:
```
LiInSiPd
1.0
0.000 3.186 3.186
3.186 0.000 3.186
3.186 3.186 0.000
Li In Si Pd
1 1 1 1
Direct
0.000 0.000 0.000
0.250 0.250 0.250
0.750 0.750 0.750
0.500 0.500 0.500
```


Entry 7:
The following is a PBE-GGA calculation of a relaxed structure of Li4TlInPd2, from OQMD via LeMat-Bulk.

Output
Total energy   -26.6 eV/cell

POSCAR file:
```
Li4TlInPd2
1.0
4.524 0.000 0.000
0.000 4.524 0.000
0.000 0.000 6.386
Li Tl In Pd
4 1 1 2
Direct
0.000 0.000 0.000
0.000 0.500 0.250
0.500 0.000 0.750
0.500 0.500 0.500
0.000 0.000 0.500
0.500 0.500 0.000
0.000 0.500 0.759
0.500 0.000 0.241
```


Entry 8:
The following is a PBE-GGA calculation of a relaxed structure of Li4ZnInPd2, from OQMD via LeMat-Bulk.

Output
Total energy   -25.7 eV/cell

POSCAR file:
```
Li4ZnInPd2
1.0
4.391 0.000 0.000
0.000 4.391 0.000
0.000 0.000 6.238
Li Zn In Pd
4 1 1 2
Direct
0.000 0.000 0.000
0.000 0.500 0.230
0.500 0.000 0.770
0.500 0.500 0.500
0.500 0.500 0.000
0.000 0.000 0.500
0.000 0.500 0.766
0.500 0.000 0.234
```


Entry 9:
The following is a PBE-GGA calculation of a relaxed structure of LiPm2In3, from OQMD via LeMat-Bulk.

Output
Total energy   -44.6 eV/cell

POSCAR file:
```
LiPm2In3
1.0
0.000 4.932 8.554
3.696 0.000 8.554
3.696 4.932 0.000
Li Pm In
2 4 6
Direct
0.168 0.168 0.832
0.832 0.832 0.168
0.249 0.751 0.751
0.250 0.250 0.250
0.750 0.750 0.750
0.751 0.249 0.249
0.157 0.670 0.330
0.329 0.329 0.671
0.330 0.843 0.157
0.670 0.157 0.843
0.671 0.671 0.329
0.843 0.330 0.670
```


Entry 10:
The following is a PBE-GGA calculation of a relaxed structure of Li2Pr3In4, from OQMD via LeMat-Bulk.

Output
Total energy   -33.0 eV/cell

POSCAR file:
```
Li2Pr3In4
1.0
5.647 -2.502 0.000
5.647 2.502 0.000
-4.392 0.000 8.426
Li Pr In
2 3 4
Direct
0.102 0.102 0.272
0.898 0.898 0.728
0.168 0.168 0.657
0.500 0.500 0.000
0.832 0.832 0.343
0.234 0.234 0.078
0.457 0.457 0.628
0.543 0.543 0.372
0.766 0.766 0.922
```


Entry 11:
The following is a PBE-GGA calculation of a relaxed structure of LiPrIn2, from OQMD via LeMat-Bulk.

Output
Total energy   -27.4 eV/cell

POSCAR file:
```
LiPrIn2
1.0
2.007 -10.336 0.000
2.007 10.336 0.000
0.000 0.000 4.770
Li Pr In
2 2 4
Direct
0.168 0.832 0.750
0.832 0.168 0.250
0.396 0.604 0.750
0.604 0.396 0.250
0.040 0.960 0.750
0.238 0.762 0.250
0.762 0.238 0.750
0.960 0.040 0.250
```


Entry 12:
The following is a PBE-GGA calculation of a relaxed structure of LiInPt, from OQMD via LeMat-Bulk.

Output
Total energy   -49.6 eV/cell

POSCAR file:
```
LiInPt
1.0
5.464 0.000 0.000
0.000 4.512 0.000
0.000 0.000 8.460
Li In Pt
4 4 4
Direct
0.038 0.250 0.225
0.462 0.750 0.725
0.538 0.250 0.275
0.962 0.750 0.775
0.208 0.250 0.562
0.292 0.750 0.062
0.708 0.250 0.938
0.792 0.750 0.438
0.212 0.250 0.884
0.288 0.750 0.384
0.712 0.250 0.616
0.788 0.750 0.116
```